(1)
The following is a DFT calculation (PBE-GGA) of crystalline HgTeAuS at its relaxed geometry.

Output
Size of the total moment in μB per formula unit: 0.00
Density of states at the Fermi level in states/eV per atom: 0.395
DFT total energy in eV/cell: -10.993

a = 7.7236 Å, b = 7.7236 Å, c = 7.7236 Å
α = 32.18°, β = 32.18°, γ = 32.18°
Positions (direct):
Hg1 0.0000 0.0000 0.0000
Te1 0.1309 0.1309 0.1309
Au1 0.5141 0.5141 0.5141
S1 0.6258 0.6258 0.6258

***

(2)
The following is a DFT calculation (PBE-GGA) of crystalline LaMgMo2 at its relaxed geometry.

Output
Formation energy in meV per atom: 198
Size of the total moment in μB per formula unit: 0.00
Density of states at the Fermi level in states/eV per atom: 0.949

a = 3.2753 Å, b = 3.2786 Å, c = 8.0745 Å
α = 90.00°, β = 90.08°, γ = 90.00°
Positions (direct):
La1 0.0000 0.0000 0.0000
Mg1 0.5020 0.5000 0.3428
Mo1 0.0032 0.0000 0.5669
Mo2 0.5028 0.5000 0.7247

***

(3)
The following is a DFT calculation (PBE-GGA) of crystalline Pr3Tl2Pd7 at its relaxed geometry.

Output
Formation energy in meV per atom: -511
Size of the total moment in μB per formula unit: 0.00
Density of states at the Fermi level in states/eV per atom: 0.365

a = 15.5618 Å, b = 15.5618 Å, c = 15.5618 Å
α = 164.69°, β = 164.69°, γ = 21.72°
Positions (direct):
Pr1 0.0000 0.0000 0.0000
Pr2 0.1824 0.1824 0.0000
Pr3 0.8176 0.8176 0.0000
Tl1 0.3709 0.3709 0.0000
Tl2 0.6291 0.6291 0.0000
Pd1 0.0705 0.5705 0.5000
Pd2 0.2775 0.2775 0.0000
Pd3 0.4295 0.9295 0.5000
Pd4 0.5000 0.5000 0.0000
Pd5 0.5705 0.0705 0.5000
Pd6 0.7225 0.7225 0.0000
Pd7 0.9295 0.4295 0.5000